No. 1
Computed, not measured: crystalline AlTlTe2 at its relaxed geometry at the GGA-PBE level of DFT.

Calculated values
**Raw formation energy**: -408 meV/atom

a b c (Å): 7.169 11.454 7.052
angles (deg): 90.00 90.00 90.00
Space group Pna2_1 (No. 33)
Symmetry-distinct sites (fractional):
Al: 0.057 0.126 0.000 [4 per cell]
Tl: 0.009 0.622 0.070 [4 per cell]
Te: 0.025 0.085 0.631 [4 per cell]
Te: 0.091 0.670 0.593 [4 per cell]



No. 2
Computed, not measured: crystalline ErSF at its relaxed geometry at the GGA-PBE level of DFT.

Calculated values
**Raw formation energy**: -2938 meV/atom

a b c (Å): 3.8871 3.8871 3.8019
angles (deg): 90.00 90.00 120.00
Space group P-6m2 (No. 187)
Symmetry-distinct sites (fractional):
Er: 0.0000 0.0000 0.0000 [1 per cell]
S: 0.6667 0.3333 0.5000 [1 per cell]
F: 0.3333 0.6667 0.0000 [1 per cell]



No. 3
Computed, not measured: crystalline Li4Tl3Ag at its relaxed geometry at the GGA-PBE level of DFT.

Calculated values
**Distance to the lowest polymorph of the same formula**: 147 meV/atom
**E_form**: -0.60 eV/f.u.

a b c (Å): 22.570 3.145 4.870
angles (deg): 90.00 91.06 90.00
Space group C2/m (No. 12)
Symmetry-distinct sites (fractional):
Li: 0.102 0.000 0.219 [4 per cell]
Li: 0.219 0.000 0.246 [4 per cell]
Tl: 0.000 0.500 0.000 [2 per cell]
Tl: 0.150 0.500 0.726 [4 per cell]
Ag: 0.000 0.000 0.500 [2 per cell]



No. 4
Computed, not measured: crystalline Sm8AgAu2 at its relaxed geometry at the GGA-PBE level of DFT.

Calculated values
**E_form**: -3.56 eV/f.u.

a b c (Å): 18.382 5.198 7.032
angles (deg): 90.00 105.72 90.00
Space group C2/m (No. 12)
Symmetry-distinct sites (fractional):
Sm: 0.028 0.000 0.272 [4 per cell]
Sm: 0.091 0.500 0.964 [4 per cell]
Sm: 0.168 0.500 0.481 [4 per cell]
Sm: 0.199 0.000 0.832 [4 per cell]
Ag: 0.000 0.500 0.500 [2 per cell]
Au: 0.183 0.000 0.236 [4 per cell]



No. 5
Computed, not measured: crystalline CrTc8 at its relaxed geometry at the GGA-PBE level of DFT.

Calculated values
**E_form**: 0.91 eV/f.u.

a b c (Å): 8.209 8.209 3.831
angles (deg): 90.00 90.00 90.00
Space group I4/mmm (No. 139)
Symmetry-distinct sites (fractional):
Cr: 0.000 0.000 0.000 [2 per cell]
Tc: 0.000 0.331 0.000 [8 per cell]
Tc: 0.164 0.164 0.500 [8 per cell]



No. 6
Computed, not measured: crystalline LaSm2Al6 at its relaxed geometry at the GGA-PBE level of DFT.

Calculated values
**Distance to the lowest polymorph of the same formula**: 0 meV/atom
**E_form**: -4.25 eV/f.u.

a b c (Å): 7.9778 7.9778 3.7299
angles (deg): 90.00 90.00 120.00
Space group P6/mmm (No. 191)
Symmetry-distinct sites (fractional):
La: 0.0000 0.0000 0.0000 [1 per cell]
Sm: 0.3333 0.6667 0.0000 [2 per cell]
Al: 0.0000 0.3352 0.5000 [6 per cell]



No. 7
Computed, not measured: crystalline ThMg2AlAg4 at its relaxed geometry at the GGA-PBE level of DFT.

Calculated values
**E_form**: -1.05 eV/f.u.

a b c (Å): 4.5820 4.5820 27.1544
angles (deg): 90.00 90.00 120.00
Space group R-3m (No. 166, hexagonal axes)
Symmetry-distinct sites (fractional):
Th: 0.0000 0.0000 0.0000 [3 per cell]
Mg: 0.0000 0.0000 0.2409 [6 per cell]
Al: 0.0000 0.0000 0.5000 [3 per cell]
Ag: 0.0000 0.0000 0.1324 [6 per cell]
Ag: 0.0000 0.0000 0.3979 [6 per cell]



No. 8
Computed, not measured: crystalline GeAs2Pt4 at its relaxed geometry at the GGA-PBE level of DFT.

Calculated values
**E_form**: 2.55 eV/f.u.

a b c (Å): 4.739 4.739 12.617
angles (deg): 90.00 90.00 90.00
Space group I4/mmm (No. 139)
Symmetry-distinct sites (fractional):
Ge: 0.000 0.000 0.000 [2 per cell]
As: 0.000 0.000 0.383 [4 per cell]
Pt: 0.000 0.000 0.196 [4 per cell]
Pt: 0.000 0.500 0.000 [4 per cell]



Computed values of total magnetic moment (unit: μB/atom) for the preceding records, in sequence: 0.000 0.000 0.000 0.000 0.000 0.000 0.000 0.000.